(1)
The following is a GGA-PBE calculation of an optimized crystal structure of Pm2LuCl, from Alexandria.

Properties
crystal system = trigonal
formation energy without anion corrections = -0.66 eV/atom

Cell and atoms, written as CIF:
```
data_Pm2LuCl
_cell_length_a 3.6321
_cell_length_b 3.6321
_cell_length_c 10.4177
_cell_angle_alpha 79.96
_cell_angle_beta 79.96
_cell_angle_gamma 60.00
_symmetry_space_group_name_H-M 'P 1'
_symmetry_Int_Tables_number 1
_symmetry_space_group_name_Hall 'P 1'
loop_
_atom_site_label
_atom_site_type_symbol
_atom_site_fract_x
_atom_site_fract_y
_atom_site_fract_z
Cl1 Cl 0.0000 0.0000 0.0000
Lu1 Lu 0.5000 0.5000 0.5000
Pm1 Pm 0.7405 0.7405 0.7784
Pm2 Pm 0.2595 0.2595 0.2216
```

(2)
The following is a GGA-PBE calculation of an optimized crystal structure of Cu3C, from Alexandria.

Properties
crystal system = tetragonal
formation energy = 1.03 eV per atom

Cell and atoms, written as CIF:
```
data_Cu3C
_cell_length_a 7.7271
_cell_length_b 7.7271
_cell_length_c 7.7271
_cell_angle_alpha 154.22
_cell_angle_beta 154.22
_cell_angle_gamma 36.78
_symmetry_space_group_name_H-M 'P 1'
_symmetry_Int_Tables_number 1
_symmetry_space_group_name_Hall 'P 1'
loop_
_atom_site_label
_atom_site_type_symbol
_atom_site_fract_x
_atom_site_fract_y
_atom_site_fract_z
Cu1 Cu 0.0000 0.5000 0.5000
Cu2 Cu 0.5000 0.0000 0.5000
Cu3 Cu 0.7500 0.2500 0.5000
Cu4 Cu 0.2500 0.7500 0.5000
Cu5 Cu 0.8774 0.8774 0.0000
Cu6 Cu 0.1226 0.1226 0.0000
C1 C 0.6624 0.6624 0.0000
C2 C 0.3376 0.3376 0.0000
```

(3)
The following is a GGA-PBE calculation of an optimized crystal structure of LaPm7Ho12, from Alexandria.

Properties
crystal system = trigonal
formation energy = 0.23 eV per atom

Cell and atoms, written as CIF:
```
data_LaPm7Ho12
_cell_length_a 8.7429
_cell_length_b 8.7429
_cell_length_c 8.7429
_cell_angle_alpha 88.92
_cell_angle_beta 88.92
_cell_angle_gamma 88.92
_symmetry_space_group_name_H-M 'P 1'
_symmetry_Int_Tables_number 1
_symmetry_space_group_name_Hall 'P 1'
loop_
_atom_site_label
_atom_site_type_symbol
_atom_site_fract_x
_atom_site_fract_y
_atom_site_fract_z
La1 La 0.0000 0.0000 0.0000
Pm1 Pm 0.0012 0.6396 0.1219
Pm2 Pm 0.3604 0.8781 0.9988
Pm3 Pm 0.8781 0.9988 0.3604
Pm4 Pm 0.5000 0.5000 0.5000
Pm5 Pm 0.1219 0.0012 0.6396
Pm6 Pm 0.6396 0.1219 0.0012
Pm7 Pm 0.9988 0.3604 0.8781
Ho1 Ho 0.7602 0.2226 0.6323
Ho2 Ho 0.7774 0.3677 0.2398
Ho3 Ho 0.4449 0.1155 0.3460
Ho4 Ho 0.8845 0.6540 0.5551
Ho5 Ho 0.3677 0.2398 0.7774
Ho6 Ho 0.6540 0.5551 0.8845
Ho7 Ho 0.3460 0.4449 0.1155
Ho8 Ho 0.6323 0.7602 0.2226
Ho9 Ho 0.1155 0.3460 0.4449
Ho10 Ho 0.5551 0.8845 0.6540
Ho11 Ho 0.2226 0.6323 0.7602
Ho12 Ho 0.2398 0.7774 0.3677
```

(4)
The following is a GGA-PBE calculation of an optimized crystal structure of PmNd3As4, from Alexandria.

Properties
crystal system = cubic
formation energy = -1.52 eV per atom

Cell and atoms, written as CIF:
```
data_PmNd3As4
_cell_length_a 6.0282
_cell_length_b 6.0282
_cell_length_c 6.0282
_cell_angle_alpha 90.00
_cell_angle_beta 90.00
_cell_angle_gamma 90.00
_symmetry_space_group_name_H-M 'P 1'
_symmetry_Int_Tables_number 1
_symmetry_space_group_name_Hall 'P 1'
loop_
_atom_site_label
_atom_site_type_symbol
_atom_site_fract_x
_atom_site_fract_y
_atom_site_fract_z
As1 As 0.5000 0.0000 0.0000
As2 As 0.0000 0.5000 0.0000
As3 As 0.0000 0.0000 0.5000
As4 As 0.5000 0.5000 0.5000
Nd1 Nd 0.0000 0.5000 0.5000
Nd2 Nd 0.5000 0.0000 0.5000
Nd3 Nd 0.5000 0.5000 0.0000
Pm1 Pm 0.0000 0.0000 0.0000
```

(5)
The following is a GGA-PBE calculation of an optimized crystal structure of Ta3Hg5, from Alexandria.

Properties
crystal system = orthorhombic
formation energy = 0.43 eV per atom

Cell and atoms, written as CIF:
```
data_Ta3Hg5
_cell_length_a 6.2547
_cell_length_b 6.2547
_cell_length_c 4.0668
_cell_angle_alpha 90.00
_cell_angle_beta 90.00
_cell_angle_gamma 92.20
_symmetry_space_group_name_H-M 'P 1'
_symmetry_Int_Tables_number 1
_symmetry_space_group_name_Hall 'P 1'
loop_
_atom_site_label
_atom_site_type_symbol
_atom_site_fract_x
_atom_site_fract_y
_atom_site_fract_z
Ta1 Ta 0.5000 0.5000 0.0000
Ta2 Ta 0.2638 0.2638 0.5000
Ta3 Ta 0.7362 0.7362 0.5000
Hg1 Hg 0.0000 0.0000 0.0000
Hg2 Hg 0.0000 0.5000 0.0000
Hg3 Hg 0.5000 0.0000 0.0000
Hg4 Hg 0.7493 0.2507 0.5000
Hg5 Hg 0.2507 0.7493 0.5000
```

(6)
The following is a GGA-PBE calculation of an optimized crystal structure of AcYS2, from Alexandria.

Properties
crystal system = monoclinic
formation energy without anion corrections = -1.99 eV/atom

Cell and atoms, written as CIF:
```
data_AcYS2
_cell_length_a 4.0322
_cell_length_b 4.0322
_cell_length_c 7.3503
_cell_angle_alpha 74.02
_cell_angle_beta 74.02
_cell_angle_gamma 60.18
_symmetry_space_group_name_H-M 'P 1'
_symmetry_Int_Tables_number 1
_symmetry_space_group_name_Hall 'P 1'
loop_
_atom_site_label
_atom_site_type_symbol
_atom_site_fract_x
_atom_site_fract_y
_atom_site_fract_z
Ac1 Ac 0.5000 0.5000 0.5000
Y1 Y 0.0000 0.0000 0.0000
S1 S 0.7396 0.7396 0.7814
S2 S 0.2604 0.2604 0.2186
```

(7)
The following is a GGA-PBE calculation of an optimized crystal structure of La2MgAl, from Alexandria.

Properties
crystal system = cubic
formation energy = -0.25 eV per atom

Cell and atoms, written as CIF:
```
data_La2MgAl
_cell_length_a 5.4683
_cell_length_b 5.4683
_cell_length_c 5.4683
_cell_angle_alpha 60.00
_cell_angle_beta 60.00
_cell_angle_gamma 60.00
_symmetry_space_group_name_H-M 'P 1'
_symmetry_Int_Tables_number 1
_symmetry_space_group_name_Hall 'P 1'
loop_
_atom_site_label
_atom_site_type_symbol
_atom_site_fract_x
_atom_site_fract_y
_atom_site_fract_z
Mg1 Mg 0.7500 0.7500 0.7500
Al1 Al 0.2500 0.2500 0.2500
La1 La 0.0000 0.0000 0.0000
La2 La 0.5000 0.5000 0.5000
```

(8)
The following is a GGA-PBE calculation of an optimized crystal structure of CrGa2Ni7Pt2, from Alexandria.

Properties
crystal system = monoclinic
formation energy = -0.07 eV per atom

Cell and atoms, written as CIF:
```
data_CrGa2Ni7Pt2
_cell_length_a 3.3818
_cell_length_b 3.3818
_cell_length_c 13.9035
_cell_angle_alpha 82.41
_cell_angle_beta 82.41
_cell_angle_gamma 89.97
_symmetry_space_group_name_H-M 'P 1'
_symmetry_Int_Tables_number 1
_symmetry_space_group_name_Hall 'P 1'
loop_
_atom_site_label
_atom_site_type_symbol
_atom_site_fract_x
_atom_site_fract_y
_atom_site_fract_z
Cr1 Cr 0.0000 0.0000 0.0000
Ga1 Ga 0.8077 0.8077 0.3609
Ga2 Ga 0.1923 0.1923 0.6391
Ni1 Ni 0.5000 0.5000 0.0000
Ni2 Ni 0.2697 0.2697 0.4631
Ni3 Ni 0.7303 0.7303 0.5369
Ni4 Ni 0.9282 0.4279 0.1311
Ni5 Ni 0.4279 0.9282 0.1311
Ni6 Ni 0.5721 0.0718 0.8689
Ni7 Ni 0.0718 0.5721 0.8689
Pt1 Pt 0.6497 0.6497 0.7231
Pt2 Pt 0.3503 0.3503 0.2769
```

(9)
The following is a GGA-PBE calculation of an optimized crystal structure of Dy2Zn16Ge, from Alexandria.

Properties
crystal system = trigonal
formation energy = -0.21 eV per atom

Cell and atoms, written as CIF:
```
data_Dy2Zn16Ge
_cell_length_a 6.7960
_cell_length_b 6.7960
_cell_length_c 6.7960
_cell_angle_alpha 83.91
_cell_angle_beta 83.91
_cell_angle_gamma 83.91
_symmetry_space_group_name_H-M 'P 1'
_symmetry_Int_Tables_number 1
_symmetry_space_group_name_Hall 'P 1'
loop_
_atom_site_label
_atom_site_type_symbol
_atom_site_fract_x
_atom_site_fract_y
_atom_site_fract_z
Dy1 Dy 0.6671 0.6671 0.6671
Dy2 Dy 0.3347 0.3347 0.3347
Zn1 Zn 0.6913 0.0004 0.3094
Zn2 Zn 0.0004 0.3094 0.6913
Zn3 Zn 0.3094 0.6913 0.0004
Zn4 Zn 0.0004 0.6913 0.3094
Zn5 Zn 0.6913 0.3094 0.0004
Zn6 Zn 0.3094 0.0004 0.6913
Zn7 Zn 0.3492 0.8339 0.3492
Zn8 Zn 0.8339 0.3492 0.3492
Zn9 Zn 0.3492 0.3492 0.8339
Zn10 Zn 0.6491 0.1699 0.6491
Zn11 Zn 0.1699 0.6491 0.6491
Zn12 Zn 0.6491 0.6491 0.1699
Zn13 Zn 0.0063 0.4897 0.0063
Zn14 Zn 0.4897 0.0063 0.0063
Zn15 Zn 0.0063 0.0063 0.4897
Zn16 Zn 0.0957 0.0957 0.0957
Ge1 Ge 0.8978 0.8978 0.8978
```

(10)
The following is a GGA-PBE calculation of an optimized crystal structure of TiB2IrPt, from Alexandria.

Properties
crystal system = tetragonal
formation energy = 1.54 eV per atom

Cell and atoms, written as CIF:
```
data_TiB2IrPt
_cell_length_a 4.1011
_cell_length_b 4.5791
_cell_length_c 4.1011
_cell_angle_alpha 90.00
_cell_angle_beta 90.00
_cell_angle_gamma 90.00
_symmetry_space_group_name_H-M 'P 1'
_symmetry_Int_Tables_number 1
_symmetry_space_group_name_Hall 'P 1'
loop_
_atom_site_label
_atom_site_type_symbol
_atom_site_fract_x
_atom_site_fract_y
_atom_site_fract_z
B1 B 0.0000 0.0000 0.5000
B2 B 0.5000 0.0000 0.0000
Ir1 Ir 0.0000 0.5000 0.0000
Pt1 Pt 0.5000 0.5000 0.5000
Ti1 Ti 0.0000 0.0000 0.0000
```

Number 1: Fermi-level density of states 4.453 states/eV/f.u.. Number 2: Fermi-level density of states 2.063 states/eV/f.u.. Number 3: Fermi-level density of states 36.503 states/eV/f.u.. Number 4: Fermi-level density of states 0.689 states/eV/f.u.. Number 5: Fermi-level density of states 5.507 states/eV/f.u.. Number 6: Fermi-level density of states 1.479 states/eV/f.u.. Number 7: Fermi-level density of states 3.381 states/eV/f.u.. Number 8: Fermi-level density of states 15.552 states/eV/f.u.. Number 9: Fermi-level density of states 7.998 states/eV/f.u.. Number 10: Fermi-level density of states 4.348 states/eV/f.u..